[1]
## MnSb2TeAs (GGA-PBE)

Data for a geometry-optimized MnSb2TeAs structure.

Structure (extended XYZ):
```
5
Lattice="4.957 0.000 0.000 0.000 4.957 0.000 0.000 0.000 5.005" Properties=species:S:1:pos:R:3 pbc="T T T"
Mn 0.000 0.000 0.000
Sb 0.000 2.479 0.000
Sb 2.479 0.000 0.000
Te 0.000 0.000 2.503
As 2.479 2.479 2.503
```

DFT total energy (eV for the cell shown): -22.65
Space group: P4/mmm, No. 123

[2]
## MnSb2TeAs (GGA-PBE)

Data for a geometry-optimized MnSb2TeAs structure.

Structure (extended XYZ):
```
5
Lattice="5.251 0.000 0.000 0.000 5.251 0.000 0.000 0.000 5.435" Properties=species:S:1:pos:R:3 pbc="T T T"
Mn 0.000 0.000 0.000
Sb 0.000 2.626 2.717
Sb 2.626 0.000 2.717
Te 2.626 2.626 0.000
As 2.626 2.626 2.717
```

DFT total energy (eV for the cell shown): -18.32
Space group: P4/mmm, No. 123

[3]
## TiMn2SbAs (GGA-PBE)

Data for a geometry-optimized TiMn2SbAs structure.

Structure (extended XYZ):
```
5
Lattice="4.603 0.000 0.000 0.000 4.603 0.000 0.000 0.000 5.166" Properties=species:S:1:pos:R:3 pbc="T T T"
Ti 0.000 0.000 0.000
Mn 0.000 2.302 0.000
Mn 2.302 0.000 0.000
Sb 0.000 0.000 2.583
As 2.302 2.302 2.583
```

DFT total energy (eV for the cell shown): -30.30
Space group: P4/mmm, No. 123

[4]
## Mn2ZnSbAs (GGA-PBE)

Data for a geometry-optimized Mn2ZnSbAs structure.

Structure (extended XYZ):
```
5
Lattice="4.482 0.000 0.000 0.000 4.482 0.000 0.000 0.000 4.644" Properties=species:S:1:pos:R:3 pbc="T T T"
Mn 0.000 2.241 0.000
Mn 2.241 0.000 0.000
Zn 0.000 0.000 2.322
Sb 2.241 2.241 2.322
As 0.000 0.000 0.000
```

DFT total energy (eV for the cell shown): -24.09
Space group: P4/mmm, No. 123

Question: DFT total energy of number 4 (Mn2ZnSbAs)?
Answer: -24.09 eV for the cell shown